(1)
A relaxed Sr3HfSb crystal, computed with PBEsol.

a b c (Å): 6.131 6.131 6.131
angles (deg): 90.00 90.00 90.00
Atoms (fractional coordinates):
1 Sr 0.000 0.000 0.500
2 Sr 0.000 0.500 0.000
3 Sr 0.500 0.000 0.000
4 Hf 0.500 0.500 0.500
5 Sb 0.000 0.000 0.000

Output
Polymorph energy (0 for the lowest one) (meV/atom): 0
DOS(E_F) (states/eV/f.u.): 10.10
SG: Pm-3m, No. 221

***

(2)
A relaxed Sr3HfSb crystal, computed with PBEsol.

a b c (Å): 5.767 5.767 5.767
angles (deg): 90.00 90.00 90.00
Atoms (fractional coordinates):
1 Sr 0.000 0.000 0.500
2 Sr 0.000 0.500 0.000
3 Sr 0.500 0.000 0.000
4 Hf 0.000 0.000 0.000
5 Sb 0.500 0.500 0.500

Output
Polymorph energy (0 for the lowest one) (meV/atom): 309
DOS(E_F) (states/eV/f.u.): 8.48
SG: Pm-3m, No. 221

***

(3)
A relaxed HfTcSb2Te crystal, computed with PBEsol.

a b c (Å): 5.416 5.416 5.362
angles (deg): 90.00 90.00 90.00
Atoms (fractional coordinates):
1 Hf 0.000 0.000 0.000
2 Tc 0.500 0.500 0.500
3 Sb 0.000 0.500 0.000
4 Sb 0.500 0.000 0.000
5 Te 0.000 0.000 0.500

Output
DOS(E_F) (states/eV/f.u.): 4.19
SG: P4/mmm, No. 123

***

(4)
A relaxed YHfTc2Sb crystal, computed with PBEsol.

a b c (Å): 4.810 4.810 5.220
angles (deg): 90.00 90.00 90.00
Atoms (fractional coordinates):
1 Y 0.000 0.000 0.000
2 Hf 0.500 0.500 0.000
3 Tc 0.000 0.500 0.500
4 Tc 0.500 0.000 0.500
5 Sb 0.000 0.000 0.500

Output
DOS(E_F) (states/eV/f.u.): 7.54
SG: P4/mmm, No. 123

***

(5)
A relaxed Hf3SbTe crystal, computed with PBEsol.

a b c (Å): 5.200 5.200 5.200
angles (deg): 90.00 90.00 90.00
Atoms (fractional coordinates):
1 Hf 0.000 0.000 0.500
2 Hf 0.000 0.500 0.000
3 Hf 0.500 0.000 0.000
4 Sb 0.000 0.000 0.000
5 Te 0.500 0.500 0.500

Output
DOS(E_F) (states/eV/f.u.): 8.15
SG: Pm-3m, No. 221

***

(6)
A relaxed HfSb2W crystal, computed with PBEsol.

a b c (Å): 4.787 4.787 4.787
angles (deg): 60.00 60.00 60.00
Atoms (fractional coordinates):
1 Hf 0.000 0.000 0.000
2 Sb 0.250 0.250 0.250
3 Sb 0.750 0.750 0.750
4 W 0.500 0.500 0.500

Output
DOS(E_F) (states/eV/f.u.): 1.37
SG: Fm-3m, No. 225

***

Number 1: E_tot -3.6313 eV per atom, calculated density 4.1 g cm⁻³. Number 2: E_tot -3.3228 eV per atom, calculated density 4.9 g cm⁻³. Number 3: E_tot -5.7426 eV per atom, calculated density 6.8 g cm⁻³. Number 4: E_tot -7.5609 eV per atom, calculated density 8.0 g cm⁻³. Number 5: E_tot -6.9779 eV per atom, calculated density 9.3 g cm⁻³. Number 6: E_tot -8.2834 eV per atom, calculated density 13.0 g cm⁻³.